(1)
First-principles (GGA-PBEsol) data for Sr2H2Au after structural relaxation, as listed in Alexandria.

Unit cell a=3.891 b=3.891 c=13.225 alpha=90.00 beta=90.00 gamma=90.00
Positions (direct):
1 Sr 0.000 0.000 0.142
2 Sr 0.000 0.000 0.858
3 Sr 0.500 0.500 0.358
4 Sr 0.500 0.500 0.642
5 H 0.000 0.500 0.250
6 H 0.000 0.500 0.750
7 H 0.500 0.000 0.250
8 H 0.500 0.000 0.750
9 Au 0.000 0.000 0.500
10 Au 0.500 0.500 0.000

Summary:
E	-3.39	eV/atom

(2)
First-principles (GGA-PBEsol) data for Ta3HAu after structural relaxation, as listed in Alexandria.

Unit cell a=4.131 b=4.131 c=4.131 alpha=90.00 beta=90.00 gamma=90.00
Positions (direct):
1 Ta 0.000 0.000 0.500
2 Ta 0.000 0.500 0.000
3 Ta 0.500 0.000 0.000
4 H 0.000 0.000 0.000
5 Au 0.500 0.500 0.500

Summary:
E	-9.07	eV/atom

(3)
First-principles (GGA-PBEsol) data for TaHAu2 after structural relaxation, as listed in Alexandria.

Unit cell a=6.244 b=6.244 c=6.244 alpha=90.00 beta=90.00 gamma=90.00
Positions (direct):
1 Ta 0.000 0.000 0.000
2 Ta 0.000 0.500 0.500
3 Ta 0.500 0.000 0.500
4 Ta 0.500 0.500 0.000
5 H 0.000 0.000 0.500
6 H 0.000 0.500 0.000
7 H 0.500 0.000 0.000
8 H 0.500 0.500 0.500
9 Au 0.250 0.250 0.250
10 Au 0.250 0.250 0.750
11 Au 0.250 0.750 0.250
12 Au 0.250 0.750 0.750
13 Au 0.750 0.250 0.250
14 Au 0.750 0.250 0.750
15 Au 0.750 0.750 0.250
16 Au 0.750 0.750 0.750

Summary:
E	-5.26	eV/atom

(4)
First-principles (GGA-PBEsol) data for TcHAu2 after structural relaxation, as listed in Alexandria.

Unit cell a=6.147 b=6.147 c=6.147 alpha=90.00 beta=90.00 gamma=90.00
Positions (direct):
1 Tc 0.000 0.000 0.000
2 Tc 0.000 0.500 0.500
3 Tc 0.500 0.000 0.500
4 Tc 0.500 0.500 0.000
5 H 0.000 0.000 0.500
6 H 0.000 0.500 0.000
7 H 0.500 0.000 0.000
8 H 0.500 0.500 0.500
9 Au 0.250 0.250 0.250
10 Au 0.250 0.250 0.750
11 Au 0.250 0.750 0.250
12 Au 0.250 0.750 0.750
13 Au 0.750 0.250 0.250
14 Au 0.750 0.250 0.750
15 Au 0.750 0.750 0.250
16 Au 0.750 0.750 0.750

Summary:
E	-4.58	eV/atom

(5)
First-principles (GGA-PBEsol) data for Ti2H2Au after structural relaxation, as listed in Alexandria.

Unit cell a=3.396 b=3.396 c=9.141 alpha=90.00 beta=90.00 gamma=90.00
Positions (direct):
1 Ti 0.000 0.000 0.160
2 Ti 0.000 0.000 0.840
3 Ti 0.500 0.500 0.340
4 Ti 0.500 0.500 0.660
5 H 0.000 0.500 0.250
6 H 0.000 0.500 0.750
7 H 0.500 0.000 0.250
8 H 0.500 0.000 0.750
9 Au 0.000 0.000 0.500
10 Au 0.500 0.500 0.000

Summary:
E	-5.89	eV/atom

(6)
First-principles (GGA-PBEsol) data for Ti3HAu after structural relaxation, as listed in Alexandria.

Unit cell a=4.034 b=4.034 c=4.034 alpha=90.00 beta=90.00 gamma=90.00
Positions (direct):
1 Ti 0.000 0.000 0.500
2 Ti 0.000 0.500 0.000
3 Ti 0.500 0.000 0.000
4 H 0.000 0.000 0.000
5 Au 0.500 0.500 0.500

Summary:
E	-6.85	eV/atom

(7)
First-principles (GGA-PBEsol) data for H2WAu2 after structural relaxation, as listed in Alexandria.

Unit cell a=2.856 b=2.856 c=13.940 alpha=90.00 beta=90.00 gamma=90.00
Positions (direct):
1 H 0.000 0.500 0.250
2 H 0.000 0.500 0.750
3 H 0.500 0.000 0.250
4 H 0.500 0.000 0.750
5 W 0.000 0.000 0.000
6 W 0.500 0.500 0.500
7 Au 0.000 0.000 0.357
8 Au 0.000 0.000 0.643
9 Au 0.500 0.500 0.143
10 Au 0.500 0.500 0.857

Summary:
E	-5.11	eV/atom

(8)
First-principles (GGA-PBEsol) data for Y2H2Au after structural relaxation, as listed in Alexandria.

Unit cell a=3.577 b=3.577 c=12.213 alpha=90.00 beta=90.00 gamma=90.00
Positions (direct):
1 Y 0.000 0.000 0.144
2 Y 0.000 0.000 0.856
3 Y 0.500 0.500 0.356
4 Y 0.500 0.500 0.644
5 H 0.000 0.500 0.250
6 H 0.000 0.500 0.750
7 H 0.500 0.000 0.250
8 H 0.500 0.000 0.750
9 Au 0.000 0.000 0.500
10 Au 0.500 0.500 0.000

Summary:
E	-5.63	eV/atom

(9)
First-principles (GGA-PBEsol) data for Zr3HAu after structural relaxation, as listed in Alexandria.

Unit cell a=4.344 b=4.344 c=4.344 alpha=90.00 beta=90.00 gamma=90.00
Positions (direct):
1 Zr 0.000 0.000 0.500
2 Zr 0.000 0.500 0.000
3 Zr 0.500 0.000 0.000
4 H 0.000 0.000 0.000
5 Au 0.500 0.500 0.500

Summary:
E	-7.31	eV/atom

(10)
First-principles (GGA-PBEsol) data for ZrHAu3 after structural relaxation, as listed in Alexandria.

Unit cell a=5.187 b=5.187 c=5.187 alpha=90.00 beta=90.00 gamma=90.00
Positions (direct):
1 Zr 0.000 0.000 0.000
2 H 0.500 0.500 0.500
3 Au 0.000 0.000 0.500
4 Au 0.000 0.500 0.000
5 Au 0.500 0.000 0.000

Summary:
E	-3.58	eV/atom

(11)
First-principles (GGA-PBEsol) data for Zr2H2Au after structural relaxation, as listed in Alexandria.

Unit cell a=3.197 b=3.197 c=12.692 alpha=90.00 beta=90.00 gamma=90.00
Positions (direct):
1 Zr 0.000 0.000 0.146
2 Zr 0.000 0.000 0.854
3 Zr 0.500 0.500 0.354
4 Zr 0.500 0.500 0.646
5 H 0.000 0.500 0.250
6 H 0.000 0.500 0.750
7 H 0.500 0.000 0.250
8 H 0.500 0.000 0.750
9 Au 0.000 0.000 0.500
10 Au 0.500 0.500 0.000

Summary:
E	-6.32	eV/atom

(12)
First-principles (GGA-PBEsol) data for HfAu3 after structural relaxation, as listed in Alexandria.

Unit cell a=4.782 b=5.978 c=4.880 alpha=90.00 beta=90.00 gamma=90.00
Positions (direct):
1 Hf 0.250 0.250 0.161
2 Hf 0.750 0.750 0.839
3 Au 0.250 0.502 0.665
4 Au 0.250 0.750 0.158
5 Au 0.250 0.998 0.665
6 Au 0.750 0.002 0.335
7 Au 0.750 0.250 0.842
8 Au 0.750 0.498 0.335

Summary:
energy relative to the elements	-0.537	eV/atom

(13)
First-principles (GGA-PBEsol) data for HfAuI2 after structural relaxation, as listed in Alexandria.

Unit cell a=7.172 b=7.172 c=7.172 alpha=90.00 beta=90.00 gamma=90.00
Positions (direct):
1 Hf 0.000 0.000 0.000
2 Hf 0.000 0.500 0.500
3 Hf 0.500 0.000 0.500
4 Hf 0.500 0.500 0.000
5 Au 0.000 0.000 0.500
6 Au 0.000 0.500 0.000
7 Au 0.500 0.000 0.000
8 Au 0.500 0.500 0.500
9 I 0.250 0.250 0.250
10 I 0.250 0.250 0.750
11 I 0.250 0.750 0.250
12 I 0.250 0.750 0.750
13 I 0.750 0.250 0.250
14 I 0.750 0.250 0.750
15 I 0.750 0.750 0.250
16 I 0.750 0.750 0.750

Summary:
formation energy from raw total energies	0.15	eV/atom

(14)
First-principles (GGA-PBEsol) data for HfAuI3 after structural relaxation, as listed in Alexandria.

Unit cell a=5.452 b=5.452 c=5.452 alpha=90.00 beta=90.00 gamma=90.00
Positions (direct):
1 Hf 0.000 0.000 0.000
2 Au 0.500 0.500 0.500
3 I 0.000 0.500 0.500
4 I 0.500 0.000 0.500
5 I 0.500 0.500 0.000

Summary:
formation energy from raw total energies	0.71	eV/atom

(15)
First-principles (GGA-PBEsol) data for HfNiAuI2 after structural relaxation, as listed in Alexandria.

Unit cell a=5.505 b=5.505 c=5.200 alpha=90.00 beta=90.00 gamma=90.00
Positions (direct):
1 Hf 0.000 0.000 0.000
2 Ni 0.500 0.500 0.500
3 Au 0.000 0.000 0.500
4 I 0.000 0.500 0.000
5 I 0.500 0.000 0.000

Summary:
formation energy from raw total energies	0.83	eV/atom

The records above give, respectively, total magnetic moment values of 0.000; 0.000; 0.001; 2.069; 0.003; 0.001; 0.000; 0.000; 0.000; 0.711; 0.000; 0.000; 0.005; 1.306; 1.758 μB per formula unit.